Entry from Alexandria: a relaxed structure of KPb2Se (PBE-GGA).

a b c (Å): 4.2420 4.2373 7.3084
angles (deg): 90.00 90.00 90.00
Fractional coordinates of all 4 atoms:
K 0.5000 0.5000 0.7310
Pb 0.0000 0.0000 0.0504
Pb 0.5000 0.5000 0.2706
Se 0.0000 0.0000 0.4480

Computed properties:
M_tot = 0.000 μB per formula unit
VASP energy = -0.12309 hartree per atom
formation energy (no corrections) = -1.4 eV/f.u.

Entry from Alexandria: a relaxed structure of LiTl2Os (PBE-GGA).

a b c (Å): 3.6499 3.6499 5.8340
angles (deg): 90.00 90.00 90.00
Fractional coordinates of all 4 atoms:
Li 0.0000 0.0000 0.5135
Os 0.5000 0.5000 0.7512
Tl 0.0000 0.0000 0.9545
Tl 0.5000 0.5000 0.2808

Computed properties:
M_tot = 0.000 μB per formula unit
ΔE_f = 0.5673 eV per atom
energy above the most stable polymorph in this dataset = 123 meV per atom
VASP energy = -0.14339 hartree per atom

Entry from Alexandria: a relaxed structure of Tb6Sm5Sc (PBE-GGA).

a b c (Å): 5.0440 10.0755 9.4294
angles (deg): 122.27 105.49 90.05
Fractional coordinates of all 12 atoms:
Sc 0.0000 0.0000 0.0000
Tb 0.8347 0.5874 0.6694
Tb 0.8346 0.0819 0.6692
Tb 0.5001 0.7546 0.0000
Tb 0.4999 0.2454 0.0000
Tb 0.1654 0.9181 0.3308
Tb 0.1653 0.4126 0.3306
Sm 0.6640 0.1640 0.3281
Sm 0.3338 0.3338 0.6675
Sm 0.0000 0.5000 0.0000
Sm 0.6662 0.6662 0.3325
Sm 0.3360 0.8360 0.6719

Computed properties:
M_tot = 0.000 μB per formula unit
ΔE_f = 0.0278 eV per atom
VASP energy = -0.17571 hartree per atom

Entry from Alexandria: a relaxed structure of KNaP2S (PBE-GGA).

a b c (Å): 5.0406 5.0406 5.1685
angles (deg): 90.00 90.00 90.00
Each line ends with the local moment (μB).
Fractional coordinates of all 5 atoms:
P 0.0000 0.5000 0.0000  0.10
P 0.5000 0.0000 0.0000  0.10
K 0.5000 0.5000 0.5000  0.00
S 0.0000 0.0000 0.5000  0.00
Na 0.0000 0.0000 0.0000  0.00

Computed properties:
M_tot = 0.456 μB per formula unit
energy above the most stable polymorph in this dataset = 0 meV per atom
VASP energy = -0.10248 hartree per atom
formation energy (no corrections) = 3.4 eV/f.u.

Entry from Alexandria: a relaxed structure of RbCaAlBr6 (PBE-GGA).

a b c (Å): 7.1926 7.1926 14.9990
angles (deg): 90.00 90.00 120.00
Fractional coordinates of all 18 atoms:
Rb 0.0000 0.0000 0.0000
Rb 0.0000 0.0000 0.5000
Ca 0.3333 0.6667 0.2500
Ca 0.6667 0.3333 0.7500
Al 0.6667 0.3333 0.2500
Al 0.3333 0.6667 0.7500
Br 0.6489 0.6102 0.1504
Br 0.9612 0.3511 0.1504
Br 0.3511 0.9612 0.6504
Br 0.0388 0.6489 0.8496
Br 0.3898 0.3511 0.3496
Br 0.9612 0.6102 0.3496
Br 0.6102 0.9612 0.8496
Br 0.6489 0.0388 0.3496
Br 0.0388 0.3898 0.6504
Br 0.3898 0.0388 0.1504
Br 0.6102 0.6489 0.6504
Br 0.3511 0.3898 0.8496

Computed properties:
M_tot = 0.000 μB per formula unit
VASP energy = -0.12522 hartree per atom
formation energy (no corrections) = -13.9 eV/f.u.

Entry from Alexandria: a relaxed structure of NaSr3Au2O6 (PBE-GGA).

a b c (Å): 5.9108 5.9108 6.5559
angles (deg): 90.00 90.00 120.00
Each line ends with the local moment (μB).
Fractional coordinates of all 12 atoms:
Na 0.0000 0.0000 0.5000  0.01
Sr 0.3333 0.6667 0.6068  -0.01
Sr 0.6667 0.3333 0.3932  -0.01
Sr 0.0000 0.0000 0.0000  -0.01
Au 0.6667 0.3333 0.8932  0.16
Au 0.3333 0.6667 0.1068  0.16
O 0.6638 0.8319 0.2921  0.16
O 0.1681 0.3362 0.2921  0.16
O 0.1681 0.8319 0.2921  0.16
O 0.8319 0.6639 0.7079  0.16
O 0.3362 0.1681 0.7079  0.16
O 0.8319 0.1681 0.7079  0.16

Computed properties:
M_tot = 1.529 μB per formula unit
VASP energy = -0.17415 hartree per atom
formation energy (no corrections) = -14.2 eV/f.u.

Entry from Alexandria: a relaxed structure of Tm3SCl7 (PBE-GGA).

a b c (Å): 7.8639 7.8660 7.7482
angles (deg): 75.33 59.50 60.01
Fractional coordinates of all 11 atoms:
Tm 0.0599 0.2655 0.6148
Tm 0.5795 0.7467 0.6129
Tm 0.0609 0.7467 0.6129
S 0.7934 0.5872 0.8261
Cl 0.3458 0.9204 0.3879
Cl 0.2907 0.6060 0.8127
Cl 0.8540 0.9014 0.3906
Cl 0.2905 0.0762 0.8140
Cl 0.8192 0.0762 0.8140
Cl 0.3263 0.4281 0.3914
Cl 0.8542 0.4281 0.3914

Computed properties:
M_tot = 0.000 μB per formula unit
VASP energy = -0.18359 hartree per atom
formation energy (no corrections) = -24.5 eV/f.u.

Entry from Alexandria: a relaxed structure of LiBeV (PBE-GGA).

a b c (Å): 4.9817 7.2150 7.2150
angles (deg): 36.30 106.11 73.89
Fractional coordinates of all 6 atoms:
Be 0.0000 0.3496 0.3496
Be 0.0000 0.6504 0.6504
V 0.5000 0.3120 0.3120
V 0.5000 0.6880 0.6880
Li 0.3376 0.9073 0.0927
Li 0.6624 0.0927 0.9073

Computed properties:
M_tot = 0.000 μB per formula unit
ΔE_f = 0.1475 eV per atom
energy above the most stable polymorph in this dataset = 7 meV per atom
VASP energy = -0.17537 hartree per atom

Entry from Alexandria: a relaxed structure of YErTlIn (PBE-GGA).

a b c (Å): 5.3273 5.3273 5.3273
angles (deg): 60.00 60.00 60.00
Fractional coordinates of all 4 atoms:
Y 0.7500 0.7500 0.7500
Tl 0.5000 0.5000 0.5000
In 0.0000 0.0000 0.0000
Er 0.2500 0.2500 0.2500

Computed properties:
M_tot = 0.000 μB per formula unit
ΔE_f = -0.4055 eV per atom
VASP energy = -0.16311 hartree per atom

Entry from Alexandria: a relaxed structure of Hf3FeHg (PBE-GGA).

a b c (Å): 3.4217 8.9842 8.0322
angles (deg): 125.40 90.00 90.00
Fractional coordinates of all 10 atoms:
Hf 0.2500 0.1082 0.3007
Hf 0.7500 0.8918 0.6993
Hf 0.7500 0.4396 0.6161
Hf 0.2500 0.5604 0.3839
Hf 0.2500 0.3009 0.8237
Hf 0.7500 0.6991 0.1763
Fe 0.2500 0.9127 0.4789
Fe 0.7500 0.0873 0.5211
Hg 0.7500 0.2468 0.1021
Hg 0.2500 0.7532 0.8979

Computed properties:
M_tot = 0.000 μB per formula unit
ΔE_f = -0.0817 eV per atom
energy above the most stable polymorph in this dataset = 0 meV per atom
VASP energy = -0.28689 hartree per atom

Entry from Alexandria: a relaxed structure of Ac6Pm5Dy2 (PBE-GGA).

a b c (Å): 3.7584 11.3707 24.0053
angles (deg): 90.00 90.00 90.00
Fractional coordinates of all 26 atoms:
Ac 0.0000 0.1470 0.3853
Ac 0.0000 0.8530 0.6147
Ac 0.0000 0.6470 0.1147
Ac 0.0000 0.3530 0.8853
Ac 0.5000 0.3339 0.1340
Ac 0.5000 0.6661 0.8660
Ac 0.5000 0.8339 0.3660
Ac 0.5000 0.1661 0.6340
Ac 0.0000 0.5186 0.3872
Ac 0.0000 0.4814 0.6128
Ac 0.0000 0.0186 0.1128
Ac 0.0000 0.9814 0.8872
Pm 0.5000 0.3352 0.4968
Pm 0.5000 0.6648 0.5032
Pm 0.5000 0.8352 0.0032
Pm 0.5000 0.1648 0.9968
Pm 0.5000 0.5852 0.2502
Pm 0.5000 0.4148 0.7498
Pm 0.5000 0.0852 0.2498
Pm 0.5000 0.9148 0.7502
Pm 0.5000 0.5000 0.0000
Pm 0.5000 0.0000 0.5000
Dy 0.0000 0.3351 0.2667
Dy 0.0000 0.6649 0.7333
Dy 0.0000 0.8351 0.2333
Dy 0.0000 0.1649 0.7667

Computed properties:
M_tot = 0.000 μB per formula unit
ΔE_f = 0.1523 eV per atom
VASP energy = -0.15725 hartree per atom